# FeCoB2, relaxed, DFT PBEsol
data_FeCoB2
_cell_length_a 5.190
_cell_length_b 5.190
_cell_length_c 4.978
_cell_angle_alpha 90.00
_cell_angle_beta 90.00
_cell_angle_gamma 90.00
_symmetry_space_group_name_H-M 'I -4 2 d'
_symmetry_Int_Tables_number 122
_symmetry_space_group_name_Hall 'I -4 2bw'
loop_
_atom_site_label
_atom_site_type_symbol
_atom_site_fract_x
_atom_site_fract_y
_atom_site_fract_z
Fe1 Fe 0.000 0.000 0.000
Co1 Co 0.000 0.000 0.500
B1 B 0.248 0.250 0.625
# E = -7.4423 eV per atom
# Formation energy from the elements = 0.24 eV per atom